[1]
# Tl2TePt2, optimized geometry, DFT PBE
# Crystal system ... tetragonal
# Symmetry ... P4/mbm
# Total energy ... -0.1459 Ha/atom
# Spin magnetization ... 0.00 μB/f.u.
# Formation energy without anion corrections ... 0.02 eV per atom
data_Tl2TePt2
_space_group_name_H-M_alt 'P 1'
_space_group_IT_number 1
_cell_length_a 7.463
_cell_length_b 7.463
_cell_length_c 4.053
_cell_angle_alpha 90.00
_cell_angle_beta 90.00
_cell_angle_gamma 90.00
loop_
_space_group_symop_operation_xyz
'x,y,z'
loop_
_atom_site_label
_atom_site_fract_x
_atom_site_fract_y
_atom_site_fract_z
Tl1 0.163 0.337 0.000
Tl2 0.337 0.837 0.000
Tl3 0.663 0.163 0.000
Tl4 0.837 0.663 0.000
Te1 0.000 0.000 0.500
Te2 0.500 0.500 0.500
Pt1 0.138 0.638 0.500
Pt2 0.362 0.138 0.500
Pt3 0.638 0.862 0.500
Pt4 0.862 0.362 0.500

---

[2]
# MgHg2H2, optimized geometry, DFT PBE
# Crystal system ... tetragonal
# Symmetry ... P4/mbm
# Total energy ... -0.0594 Ha/atom
# Spin magnetization ... 0.00 μB/f.u.
data_MgHg2H2
_space_group_name_H-M_alt 'P 1'
_space_group_IT_number 1
_cell_length_a 6.073
_cell_length_b 6.073
_cell_length_c 4.141
_cell_angle_alpha 90.00
_cell_angle_beta 90.00
_cell_angle_gamma 90.00
loop_
_space_group_symop_operation_xyz
'x,y,z'
loop_
_atom_site_label
_atom_site_fract_x
_atom_site_fract_y
_atom_site_fract_z
Mg1 0.000 0.000 0.000
Mg2 0.500 0.500 0.000
Hg1 0.179 0.321 0.500
Hg2 0.321 0.821 0.500
Hg3 0.679 0.179 0.500
Hg4 0.821 0.679 0.500
H1 0.188 0.312 0.000
H2 0.312 0.812 0.000
H3 0.688 0.188 0.000
H4 0.812 0.688 0.000

---

[3]
# Th2Sb7Pd12, optimized geometry, DFT PBE
# Crystal system ... trigonal
# Symmetry ... P-3
# Total energy ... -0.2073 Ha/atom
# Spin magnetization ... 0.00 μB/f.u.
# Formation energy without anion corrections ... -0.59 eV per atom
data_Th2Sb7Pd12
_space_group_name_H-M_alt 'P 1'
_space_group_IT_number 1
_cell_length_a 10.494
_cell_length_b 10.494
_cell_length_c 4.411
_cell_angle_alpha 90.00
_cell_angle_beta 90.00
_cell_angle_gamma 120.00
loop_
_space_group_symop_operation_xyz
'x,y,z'
loop_
_atom_site_label
_atom_site_fract_x
_atom_site_fract_y
_atom_site_fract_z
Th1 0.333 0.667 0.225
Th2 0.667 0.333 0.775
Sb1 0.000 0.000 0.500
Sb2 0.107 0.706 0.712
Sb3 0.294 0.401 0.712
Sb4 0.401 0.107 0.288
Sb5 0.599 0.893 0.712
Sb6 0.706 0.599 0.288
Sb7 0.893 0.294 0.288
Pd1 0.065 0.441 0.780
Pd2 0.125 0.256 0.205
Pd3 0.131 0.875 0.205
Pd4 0.256 0.131 0.795
Pd5 0.376 0.935 0.780
Pd6 0.441 0.376 0.220
Pd7 0.559 0.624 0.780
Pd8 0.624 0.065 0.220
Pd9 0.744 0.869 0.205
Pd10 0.869 0.125 0.795
Pd11 0.875 0.744 0.795
Pd12 0.935 0.559 0.220

---

- Which of these has the highest total energy?
  MgHg2H2

---

- total energy of number 3 (Th2Sb7Pd12)?
  -0.2073 Ha/atom